# 1
Here is BaLiCuHg2 after structural relaxation from the Alexandria database. Energies are from GGA-PBE.

Output
Space group: P4/mmm, No. 123
Size of the total moment: 0.0 μB/f.u.
DFT formation energy: -0.180 eV/atom
Energy above the most stable polymorph in this dataset: 0.0 meV per atom

Cell: 5.2128 5.2128 4.9587 Å, 90.00 90.00 90.00°
Element x y z (fractional)
Ba1 0.5000 0.5000 0.5000
Cu1 0.0000 0.0000 0.0000
Hg1 0.0000 0.5000 0.0000
Li1 0.0000 0.0000 0.5000
Hg2 0.5000 0.0000 0.0000

***

# 2
Here is ZrAlRh after structural relaxation from the Alexandria database. Energies are from GGA-PBE.

Output
Space group: I4mm, No. 107
Size of the total moment: 0.0 μB/f.u.
DFT formation energy: -0.743 eV/atom

Cell: 5.7803 5.7804 3.0788 Å, 74.55 74.56 30.89°
Element x y z (fractional)
Al1 0.0226 0.0226 0.9774
Rh1 0.6514 0.6514 0.3486
Zr1 0.3260 0.3260 0.6740